1.
Crystalline LiTbS2 at its relaxed geometry, computed with PBE-GGA.

Geometry as POSCAR:
```
LiTbS2
1.0
3.9048 0.0000 0.0000
-1.9524 3.3817 0.0000
0.0000 0.0000 19.7798
Li Tb S
3 3 6
Direct
0.0000 0.0000 0.0000 Li
0.3333 0.6667 0.6667 Li
0.6667 0.3333 0.3333 Li
0.0000 0.0000 0.8214 Tb
0.3333 0.6667 0.4881 Tb
0.6667 0.3333 0.1548 Tb
0.0000 0.0000 0.2323 S
0.0000 0.0000 0.4065 S
0.3333 0.6667 0.0731 S
0.3333 0.6667 0.8990 S
0.6667 0.3333 0.5656 S
0.6667 0.3333 0.7398 S
```

The total energy comes out at -21.9 eV per formula unit. Its formation energy from raw total energies is -687 kJ/mol of formula units. The calculated density is 4.4 g/cm3.

=====

2.
Crystalline Li2TbS2 at its relaxed geometry, computed with PBE-GGA.

Geometry as POSCAR:
```
Li2TbS2
1.0
3.8700 0.0000 0.0000
-1.9350 3.3515 0.0000
0.0000 0.0000 23.3004
Li Tb S
6 3 6
Direct
0.0000 0.0000 0.2259 Li
0.0000 0.0000 0.7741 Li
0.3333 0.6667 0.4408 Li
0.3333 0.6667 0.8926 Li
0.6667 0.3333 0.1074 Li
0.6667 0.3333 0.5592 Li
0.0000 0.0000 0.0000 Tb
0.3333 0.6667 0.6667 Tb
0.6667 0.3333 0.3333 Tb
0.0000 0.0000 0.4068 S
0.0000 0.0000 0.5933 S
0.3333 0.6667 0.0734 S
0.3333 0.6667 0.2599 S
0.6667 0.3333 0.7401 S
0.6667 0.3333 0.9266 S
```

The total energy comes out at -24.0 eV per formula unit. Its formation energy from raw total energies is -702 kJ/mol of formula units. The calculated density is 3.9 g/cm3.

=====

3.
Crystalline LiTbS2 at its relaxed geometry, computed with PBE-GGA.

Geometry as POSCAR:
```
LiTbS2
1.0
3.9335 0.0000 0.0000
-1.9668 3.4065 0.0000
0.0000 0.0000 18.5314
Li Tb S
3 3 6
Direct
0.0000 0.0000 0.0000 Li
0.3333 0.6667 0.6667 Li
0.6667 0.3333 0.3333 Li
0.0000 0.0000 0.5000 Tb
0.3333 0.6667 0.1667 Tb
0.6667 0.3333 0.8333 Tb
0.0000 0.0000 0.2505 S
0.0000 0.0000 0.7495 S
0.3333 0.6667 0.4162 S
0.3333 0.6667 0.9171 S
0.6667 0.3333 0.0829 S
0.6667 0.3333 0.5838 S
```

The total energy comes out at -22.2 eV per formula unit. Its formation energy from raw total energies is -712 kJ/mol of formula units. The calculated density is 4.6 g/cm3.

=====

4.
Crystalline LiTb4S4 at its relaxed geometry, computed with PBE-GGA.

Geometry as POSCAR:
```
LiTb4S4
1.0
6.0992 -2.7412 0.0000
6.0992 2.7412 0.0000
-6.0867 0.0000 6.0984
Li Tb S
1 4 4
Direct
0.0000 0.0000 0.0000 Li
0.2003 0.2003 0.8004 Tb
0.4003 0.4003 0.6014 Tb
0.5997 0.5997 0.3986 Tb
0.7997 0.7997 0.1996 Tb
0.0948 0.0948 0.3865 S
0.2924 0.2924 0.1978 S
0.7076 0.7076 0.8022 S
0.9052 0.9052 0.6135 S
```

The total energy comes out at -52.1 eV per formula unit. Its formation energy from raw total energies is -1466 kJ/mol of formula units. The calculated density is 6.3 g/cm3.

=====

5.
Crystalline LiTbTeS at its relaxed geometry, computed with PBE-GGA.

Geometry as POSCAR:
```
LiTbTeS
1.0
4.2555 0.0000 0.0000
-2.1277 3.6854 0.0000
0.0000 0.0000 13.8064
Li Tb Te S
2 2 2 2
Direct
0.0000 0.0000 0.0000 Li
0.0000 0.0000 0.5000 Li
0.3333 0.6667 0.2620 Tb
0.6667 0.3333 0.7620 Tb
0.3333 0.6667 0.9053 Te
0.6667 0.3333 0.4053 Te
0.0000 0.0000 0.1748 S
0.0000 0.0000 0.6748 S
```

The total energy comes out at -20.1 eV per formula unit. Its formation energy from raw total energies is -603 kJ/mol of formula units. The calculated density is 5.0 g/cm3.

=====

6.
Crystalline Li2TbTeS4 at its relaxed geometry, computed with PBE-GGA.

Geometry as POSCAR:
```
Li2TbTeS4
1.0
5.4844 -5.3381 0.0000
5.4844 5.3381 0.0000
-5.1248 0.0000 5.9117
Li Tb Te S
4 2 2 8
Direct
0.0000 0.0000 0.0000 Li
0.0000 0.0000 0.5000 Li
0.0000 0.5000 0.0000 Li
0.5000 0.0000 0.5000 Li
0.5000 0.5000 0.0000 Tb
0.5000 0.5000 0.5000 Tb
0.0000 0.5000 0.5000 Te
0.5000 0.0000 0.0000 Te
0.2122 0.7244 0.4590 S
0.2633 0.2633 0.0287 S
0.2633 0.2633 0.5287 S
0.2756 0.7878 0.0410 S
0.7244 0.2122 0.9590 S
0.7367 0.7367 0.4713 S
0.7367 0.7367 0.9713 S
0.7878 0.2756 0.5410 S
```

The total energy comes out at -36.7 eV per formula unit. Its formation energy from raw total energies is -824 kJ/mol of formula units. The calculated density is 4.1 g/cm3.

=====

7.
Crystalline LiTb2ThS4 at its relaxed geometry, computed with PBE-GGA.

Geometry as POSCAR:
```
LiTb2ThS4
1.0
6.8072 0.0000 0.0000
0.0000 3.9193 0.0000
-2.2142 0.0000 6.4760
Li Tb Th S
1 2 1 4
Direct
0.0000 0.0000 0.0000 Li
0.5000 0.0000 0.5000 Tb
0.5000 0.5000 0.0000 Tb
0.0000 0.5000 0.5000 Th
0.2484 0.5000 0.2433 S
0.2512 0.0000 0.7637 S
0.7488 0.0000 0.2363 S
0.7516 0.5000 0.7567 S
```

The total energy comes out at -50.0 eV per formula unit. Its formation energy from raw total energies is -1437 kJ/mol of formula units. The calculated density is 6.6 g/cm3.

=====

8.
Crystalline LiTb3Th4S8 at its relaxed geometry, computed with PBE-GGA.

Geometry as POSCAR:
```
LiTb3Th4S8
1.0
3.8990 2.2511 6.7138
-3.8990 2.2511 6.7138
0.0000 -4.5022 6.7138
Li Tb Th S
1 3 4 8
Direct
0.0000 0.0000 0.0000 Li
0.0000 0.5000 0.5000 Tb
0.5000 0.0000 0.5000 Tb
0.5000 0.5000 0.0000 Tb
0.0000 0.0000 0.5000 Th
0.0000 0.5000 0.0000 Th
0.5000 0.0000 0.0000 Th
0.5000 0.5000 0.5000 Th
0.2395 0.2395 0.7519 S
0.2395 0.7519 0.2395 S
0.2481 0.7605 0.7605 S
0.2544 0.2544 0.2544 S
0.7456 0.7456 0.7456 S
0.7519 0.2395 0.2395 S
0.7605 0.2481 0.7605 S
0.7605 0.7605 0.2481 S
```

The total energy comes out at -108.3 eV per formula unit. Its formation energy from raw total energies is -2873 kJ/mol of formula units. The calculated density is 7.8 g/cm3.

=====

9.
Crystalline Li3Tb2ThS6 at its relaxed geometry, computed with PBE-GGA.

Geometry as POSCAR:
```
Li3Tb2ThS6
1.0
3.4111 -5.9121 0.0000
3.4111 5.9121 0.0000
-2.2699 0.0000 6.2135
Li Tb Th S
3 2 1 6
Direct
0.0000 0.0000 0.0000 Li
0.3299 0.6701 0.0000 Li
0.6701 0.3299 0.0000 Li
0.1663 0.8337 0.5000 Tb
0.8337 0.1663 0.5000 Tb
0.5000 0.5000 0.5000 Th
0.0782 0.4147 0.2428 S
0.2495 0.2495 0.7579 S
0.4147 0.0782 0.2428 S
0.5853 0.9218 0.7572 S
0.7505 0.7505 0.2421 S
0.9218 0.5853 0.7572 S
```

The total energy comes out at -68.4 eV per formula unit. Its formation energy from raw total energies is -2048 kJ/mol of formula units. The calculated density is 5.1 g/cm3.

=====

10.
Crystalline LiTb3Th3S8 at its relaxed geometry, computed with PBE-GGA.

Geometry as POSCAR:
```
LiTb3Th3S8
1.0
3.9431 2.2766 6.5148
-3.9431 2.2766 6.5148
0.0000 -4.5531 6.5148
Li Tb Th S
1 3 3 8
Direct
0.0000 0.0000 0.0000 Li
0.0000 0.5000 0.5000 Tb
0.5000 0.0000 0.5000 Tb
0.5000 0.5000 0.0000 Tb
0.0000 0.0000 0.5000 Th
0.0000 0.5000 0.0000 Th
0.5000 0.0000 0.0000 Th
0.2438 0.2438 0.7510 S
0.2438 0.7510 0.2438 S
0.2490 0.7562 0.7562 S
0.2544 0.2544 0.2544 S
0.7456 0.7456 0.7456 S
0.7510 0.2438 0.2438 S
0.7562 0.2490 0.7562 S
0.7562 0.7562 0.2490 S
```

The total energy comes out at -99.6 eV per formula unit. Its formation energy from raw total energies is -2755 kJ/mol of formula units. The calculated density is 6.8 g/cm3.

=====

11.
Crystalline Li2TbThS4 at its relaxed geometry, computed with PBE-GGA.

Geometry as POSCAR:
```
Li2TbThS4
1.0
6.6439 0.0000 0.0000
0.0000 3.9371 0.0000
-2.3317 0.0000 6.4278
Li Tb Th S
2 1 1 4
Direct
0.0000 0.0000 0.0000 Li
0.0000 0.5000 0.5000 Li
0.5000 0.0000 0.5000 Tb
0.5000 0.5000 0.0000 Th
0.2362 0.0000 0.7404 S
0.2430 0.5000 0.2507 S
0.7570 0.5000 0.7493 S
0.7638 0.0000 0.2596 S
```

The total energy comes out at -46.2 eV per formula unit. Its formation energy from raw total energies is -1333 kJ/mol of formula units. The calculated density is 5.3 g/cm3.

=====

12.
Crystalline LiTb2Th3S6 at its relaxed geometry, computed with PBE-GGA.

Geometry as POSCAR:
```
LiTb2Th3S6
1.0
3.3566 -5.8204 0.0000
3.3566 5.8204 0.0000
-2.2438 0.0000 6.7434
Li Tb Th S
1 2 3 6
Direct
0.0000 0.0000 0.0000 Li
0.3329 0.6671 0.0000 Tb
0.6671 0.3329 0.0000 Tb
0.1685 0.8315 0.5000 Th
0.5000 0.5000 0.5000 Th
0.8315 0.1685 0.5000 Th
0.0764 0.3992 0.2290 S
0.2468 0.2468 0.7682 S
0.3992 0.0764 0.2290 S
0.6008 0.9236 0.7710 S
0.7532 0.7532 0.2318 S
0.9236 0.6008 0.7710 S
```

The total energy comes out at -80.3 eV per formula unit. Its formation energy from raw total energies is -2133 kJ/mol of formula units. The calculated density is 7.6 g/cm3.

=====

13.
Crystalline Li3Tb2TiS6 at its relaxed geometry, computed with PBE-GGA.

Geometry as POSCAR:
```
Li3Tb2TiS6
1.0
3.2964 -5.7028 0.0000
3.2964 5.7028 0.0000
-2.1780 0.0000 6.1506
Li Tb Ti S
3 2 1 6
Direct
0.0000 0.0000 0.0000 Li
0.3406 0.6594 0.0000 Li
0.6594 0.3406 0.0000 Li
0.1682 0.8318 0.5000 Tb
0.8318 0.1682 0.5000 Tb
0.5000 0.5000 0.5000 Ti
0.1057 0.4165 0.2517 S
0.2701 0.2701 0.7417 S
0.4165 0.1057 0.2517 S
0.5835 0.8943 0.7483 S
0.7299 0.7299 0.2583 S
0.8943 0.5835 0.7483 S
```

The total energy comes out at -67.5 eV per formula unit. Its formation energy from raw total energies is -1915 kJ/mol of formula units. The calculated density is 4.2 g/cm3.

=====

14.
Crystalline LiTbTm4S8 at its relaxed geometry, computed with PBE-GGA.

Geometry as POSCAR:
```
LiTbTm4S8
1.0
3.9546 2.2832 6.5094
-3.9546 2.2832 6.5094
0.0000 -4.5664 6.5094
Li Tb Tm S
1 1 4 8
Direct
0.0000 0.0000 0.0000 Li
0.6294 0.6294 0.6294 Tb
0.1107 0.6297 0.6297 Tm
0.2506 0.2506 0.2506 Tm
0.6297 0.1107 0.6297 Tm
0.6297 0.6297 0.1107 Tm
0.3804 0.3804 0.8512 S
0.3804 0.8512 0.3804 S
0.3836 0.3836 0.3836 S
0.3941 0.8707 0.8707 S
0.8512 0.3804 0.3804 S
0.8679 0.8679 0.8679 S
0.8707 0.3941 0.8707 S
0.8707 0.8707 0.3941 S
```

The total energy comes out at -85.1 eV per formula unit. Its formation energy from raw total energies is -2665 kJ/mol of formula units. The calculated density is 5.2 g/cm3.

=====

15.
Crystalline LiTb3Tm3S8 at its relaxed geometry, computed with PBE-GGA.

Geometry as POSCAR:
```
LiTb3Tm3S8
1.0
3.8567 2.2267 6.3235
-3.8567 2.2267 6.3235
0.0000 -4.4533 6.3235
Li Tb Tm S
1 3 3 8
Direct
0.0000 0.0000 0.0000 Li
0.0000 0.0000 0.5000 Tb
0.0000 0.5000 0.0000 Tb
0.5000 0.0000 0.0000 Tb
0.0000 0.5000 0.5000 Tm
0.5000 0.0000 0.5000 Tm
0.5000 0.5000 0.0000 Tm
0.2457 0.2457 0.7497 S
0.2457 0.7497 0.2457 S
0.2503 0.7543 0.7543 S
0.2522 0.2522 0.2522 S
0.7478 0.7478 0.7478 S
0.7497 0.2457 0.2457 S
0.7543 0.2503 0.7543 S
0.7543 0.7543 0.2503 S
```

The total energy comes out at -92.1 eV per formula unit. Its formation energy from raw total energies is -2885 kJ/mol of formula units. The calculated density is 6.4 g/cm3.

=====

16.
Crystalline LiTb4TmS8 at its relaxed geometry, computed with PBE-GGA.

Geometry as POSCAR:
```
LiTb4TmS8
1.0
4.0203 2.3211 6.5124
-4.0203 2.3211 6.5124
0.0000 -4.6423 6.5124
Li Tb Tm S
1 4 1 8
Direct
0.0000 0.0000 0.0000 Li
0.1118 0.6297 0.6297 Tb
0.2495 0.2495 0.2495 Tb
0.6297 0.1118 0.6297 Tb
0.6297 0.6297 0.1118 Tb
0.6301 0.6301 0.6301 Tm
0.3836 0.3836 0.3836 S
0.3868 0.3868 0.8480 S
0.3868 0.8480 0.3868 S
0.3957 0.8664 0.8664 S
0.8480 0.3868 0.3868 S
0.8664 0.3957 0.8664 S
0.8664 0.8664 0.3957 S
0.8691 0.8691 0.8691 S
```

The total energy comes out at -85.5 eV per formula unit. Its formation energy from raw total energies is -2660 kJ/mol of formula units. The calculated density is 4.9 g/cm3.

=====

17.
Crystalline Li2TbTmS4 at its relaxed geometry, computed with PBE-GGA.

Geometry as POSCAR:
```
Li2TbTmS4
1.0
6.5641 0.0000 0.0000
0.0000 3.8973 0.0000
-2.3105 0.0000 6.3405
Li Tb Tm S
2 1 1 4
Direct
0.0000 0.0000 0.0000 Li
0.0000 0.5000 0.5000 Li
0.5000 0.0000 0.5000 Tb
0.5000 0.5000 0.0000 Tm
0.2494 0.5000 0.2458 S
0.2513 0.0000 0.7545 S
0.7487 0.0000 0.2455 S
0.7506 0.5000 0.7542 S
```

The total energy comes out at -44.3 eV per formula unit. Its formation energy from raw total energies is -1429 kJ/mol of formula units. The calculated density is 4.8 g/cm3.

=====

18.
Crystalline LiTbTm2S4 at its relaxed geometry, computed with PBE-GGA.

Geometry as POSCAR:
```
LiTbTm2S4
1.0
6.6788 0.0000 0.0000
0.0000 3.8441 0.0000
-2.2110 0.0000 6.3034
Li Tb Tm S
1 1 2 4
Direct
0.0000 0.0000 0.0000 Li
0.5000 0.5000 0.0000 Tb
0.0000 0.5000 0.5000 Tm
0.5000 0.0000 0.5000 Tm
0.2423 0.0000 0.7478 S
0.2456 0.5000 0.2505 S
0.7544 0.5000 0.7495 S
0.7577 0.0000 0.2522 S
```

The total energy comes out at -47.4 eV per formula unit. Its formation energy from raw total energies is -1486 kJ/mol of formula units. The calculated density is 6.5 g/cm3.

=====

19.
Crystalline LiTbTmS3 at its relaxed geometry, computed with PBE-GGA.

Geometry as POSCAR:
```
LiTbTmS3
1.0
7.9452 0.0000 0.0000
0.0000 3.7784 0.0000
-1.8028 0.0000 8.1001
Li Tb Tm S
2 2 2 6
Direct
0.0876 0.2500 0.0834 Li
0.9124 0.7500 0.9166 Li
0.1876 0.2500 0.7207 Tb
0.8124 0.7500 0.2793 Tb
0.3369 0.7500 0.3336 Tm
0.6631 0.2500 0.6664 Tm
0.0953 0.2500 0.3686 S
0.2197 0.7500 0.9948 S
0.4258 0.7500 0.6703 S
0.5742 0.2500 0.3297 S
0.7803 0.2500 0.0052 S
0.9047 0.7500 0.6314 S
```

The total energy comes out at -34.2 eV per formula unit. Its formation energy from raw total energies is -1043 kJ/mol of formula units. The calculated density is 5.9 g/cm3.

=====

20.
Crystalline LiTb4Tm3S8 at its relaxed geometry, computed with PBE-GGA.

Geometry as POSCAR:
```
LiTb4Tm3S8
1.0
3.8694 2.2340 6.3499
-3.8694 2.2340 6.3499
0.0000 -4.4680 6.3499
Li Tb Tm S
1 4 3 8
Direct
0.0000 0.0000 0.0000 Li
0.0000 0.0000 0.5000 Tb
0.0000 0.5000 0.0000 Tb
0.5000 0.0000 0.0000 Tb
0.5000 0.5000 0.5000 Tb
0.0000 0.5000 0.5000 Tm
0.5000 0.0000 0.5000 Tm
0.5000 0.5000 0.0000 Tm
0.2439 0.2439 0.7507 S
0.2439 0.7507 0.2439 S
0.2493 0.7561 0.7561 S
0.2527 0.2527 0.2527 S
0.7473 0.7473 0.7473 S
0.7507 0.2439 0.2439 S
0.7561 0.2493 0.7561 S
0.7561 0.7561 0.2493 S
```

The total energy comes out at -98.1 eV per formula unit. Its formation energy from raw total energies is -3013 kJ/mol of formula units. The calculated density is 7.1 g/cm3.